No. 1
This record from the Alexandria database describes LiReSi2 after structural relaxation. The functional is PBE.

abc: 4.9240 4.9240 8.4257
angles: 73.01 73.01 90.00
Last column: nearest neighbours and their distance in Å.
Element x y z (fractional)
Si: 0.7972 0.1250 0.2500  2 Re 2.31, 2 Si 2.58
Re: 0.0000 0.0000 0.0000  4 Si 2.31
Si: 0.3750 0.2028 0.7500  2 Re 2.31, 2 Si 2.58
Li: 0.5000 0.5000 0.0000  4 Si 3.09
Si: 0.8750 0.0472 0.7500  2 Re 2.31, 2 Si 2.58
Si: 0.9528 0.6250 0.2500  2 Re 2.31, 2 Si 2.58
Li: 0.2500 0.7500 0.5000  4 Si 3.09
Re: 0.7500 0.2500 0.5000  4 Si 2.31

Values from the calculation:
For the uncorrected formation energy, the calculation gives 50.6 kJ per mole of atoms. As for the calculated volume: 23.253 Å³ per atom. Its calculated total energy is -46.22 eV/cell.

***

No. 2
This record from the Alexandria database describes AcSc2Pb3 after structural relaxation. The functional is PBE.

abc: 4.6890 8.6853 9.1218
angles: 90.00 90.00 105.66
Last column: nearest neighbours and their distance in Å.
Element x y z (fractional)
Sc: 0.4973 0.9946 0.2500  6 Pb 3.04-3.23, 4 Sc 3.27
Pb: 0.8642 0.7284 0.2500  4 Sc 3.22-3.23, 4 Pb 3.36, 2 Ac 3.50
Sc: 0.0000 0.0000 0.0000  6 Pb 3.15-3.22, 4 Sc 3.27
Pb: 0.6256 0.2512 0.4861  4 Sc 3.04-3.17, 2 Pb 3.36
Pb: 0.3744 0.7488 0.9861  4 Sc 3.04-3.17, 2 Pb 3.36
Pb: 0.6256 0.2512 0.0139  4 Sc 3.04-3.17, 2 Pb 3.36
Ac: 0.2086 0.4171 0.2500  8 Pb 3.47-3.67
Pb: 0.3744 0.7488 0.5139  4 Sc 3.04-3.17, 2 Pb 3.36
Sc: 0.5027 0.0054 0.7500  6 Pb 3.04-3.23, 4 Sc 3.27
Ac: 0.7914 0.5829 0.7500  8 Pb 3.47-3.67
Sc: 0.0000 0.0000 0.5000  6 Pb 3.15-3.22, 4 Sc 3.27
Pb: 0.1358 0.2716 0.7500  4 Sc 3.22-3.23, 4 Pb 3.36, 2 Ac 3.50

Values from the calculation:
The formation energy comes out at -0.40 eV/atom. As for the calculated volume: 29.808 Å³ per atom. Its calculated total energy is -60.54 eV/cell.

***

No. 3
This record from the Alexandria database describes KAgPOs after structural relaxation. The functional is PBE.

abc: 3.9577 3.9577 12.2421
angles: 90.00 90.00 90.00
Last column: nearest neighbours and their distance in Å.
Element x y z (fractional)
Os: 0.7500 0.2500 0.0000  4 P 2.36
P: 0.2500 0.2500 0.1048  4 Os 2.36
K: 0.2500 0.2500 0.7453  4 P 3.35, 4 Ag 3.60, 4 Os 3.69
Ag: 0.7500 0.2500 0.5000  4 Ag 2.80
Os: 0.2500 0.7500 0.0000  4 P 2.36
P: 0.7500 0.7500 0.8952  4 Os 2.36
K: 0.7500 0.7500 0.2547  4 P 3.35, 4 Ag 3.60, 4 Os 3.69
Ag: 0.2500 0.7500 0.5000  4 Ag 2.80

Values from the calculation:
The formation energy comes out at -0.22 eV/atom. As for the calculated volume: 23.969 Å³ per atom. Its calculated total energy is -42.92 eV/cell.

***

No. 4
This record from the Alexandria database describes LaSi3Ir after structural relaxation. The functional is PBE.

abc: 5.8107 5.8107 5.8107
angles: 136.66 136.66 62.97
Last column: nearest neighbours and their distance in Å.
Element x y z (fractional)
Si: 0.4124 0.4124 0.0000  1 Ir 2.39, 4 Si 2.61
Ir: 0.6536 0.6536 0.0000  5 Si 2.39-2.40
Si: 0.2628 0.7628 0.5000  2 Ir 2.40, 2 Si 2.61
La: 0.9980 0.9980 0.0000  12 Si 3.15-3.39, 5 Ir 3.40-3.41
Si: 0.7628 0.2628 0.5000  2 Ir 2.40, 2 Si 2.61

Values from the calculation:
For the uncorrected formation energy, the calculation gives -82.8 kJ per mole of atoms. As for the calculated volume: 18.253 Å³ per atom. Its calculated total energy is -34.35 eV/cell.

***

No. 5
This record from the Alexandria database describes CrCuSi4 after structural relaxation. The functional is PBE.

abc: 4.9099 4.9099 4.9099
angles: 60.00 60.00 60.00
Last column: nearest neighbours and their distance in Å.
Element x y z (fractional)
Si: 0.6251 0.1248 0.6251  6 Si 2.45-2.46
Cu: 0.0000 0.0000 0.0000  12 Si 2.88, 4 Cr 3.01
Si: 0.6251 0.6251 0.1248  6 Si 2.45-2.46
Si: 0.1248 0.6251 0.6251  6 Si 2.45-2.46
Cr: 0.2500 0.2500 0.2500  12 Si 2.88, 4 Cu 3.01
Si: 0.6251 0.6251 0.6251  6 Si 2.45-2.46

Values from the calculation:
For the uncorrected formation energy, the calculation gives 43.1 kJ per mole of atoms. As for the calculated volume: 13.950 Å³ per atom. Its calculated total energy is -32.73 eV/cell.

***

No. 6
This record from the Alexandria database describes NdY4In after structural relaxation. The functional is PBE.

abc: 5.5496 11.1626 6.8911
angles: 90.00 90.00 119.84
Last column: nearest neighbours and their distance in Å.
Element x y z (fractional)
Nd: 0.6767 0.4265 0.7500  7 Y 3.29-3.65
Y: 0.0077 0.7574 0.0043  7 Y 3.39-3.61, 3 In 3.47-3.69, 3 Nd 3.65-3.71
Y: 0.3598 0.6093 0.7500  1 In 3.10, 4 Nd 3.29-3.46
Y: 0.9923 0.2426 0.5043  7 Y 3.39-3.61, 3 In 3.47-3.69, 3 Nd 3.65-3.71
Y: 0.6402 0.3907 0.2500  1 In 3.10, 4 Nd 3.29-3.46
Y: 0.0077 0.7574 0.4957  7 Y 3.39-3.61, 3 In 3.47-3.69, 3 Nd 3.65-3.71
In: 0.6794 0.9298 0.7500  7 Y 3.10-3.47
Y: 0.6698 0.9194 0.2500  4 In 3.13-3.45, 1 Nd 3.35
In: 0.3206 0.0702 0.2500  7 Y 3.10-3.47
Y: 0.3302 0.0806 0.7500  4 In 3.13-3.45, 1 Nd 3.35
Nd: 0.3233 0.5735 0.2500  7 Y 3.29-3.65
Y: 0.9923 0.2426 0.9957  7 Y 3.39-3.61, 3 In 3.47-3.69, 3 Nd 3.65-3.71

Values from the calculation:
The formation energy comes out at -0.14 eV/atom. As for the calculated volume: 30.859 Å³ per atom. Its calculated total energy is -68.45 eV/cell.